Compound: Ac4NiSn2
Source: Alexandria via LeMat-Bulk
Functional: PBE-GGA
Structure: relaxed

Computed properties:
DFT formation energy, eV/atom: -0.47
Size of the total moment, μB per cell: 0.00
DFT total energy, eV per cell: -67.1

Cell and atoms, written as extended XYZ:
```
14
Lattice="6.896 0.000 0.000 0.000 7.389 0.000 -2.555 0.000 9.644" Properties=species:S:1:pos:R:3 pbc="T T T"
Ac 1.039 1.847 0.902
Ac 0.836 5.542 3.737
Ac 0.046 3.704 7.226
Ac 0.046 7.380 7.226
Ac 4.295 0.009 2.418
Ac 4.295 3.686 2.418
Ac 3.504 1.847 5.907
Ac 3.302 5.542 8.742
Ni 2.278 1.847 3.424
Ni 2.062 5.542 6.220
Sn -0.159 1.847 4.242
Sn 2.104 5.542 0.502
Sn 2.236 1.847 9.142
Sn 4.499 5.542 5.402
```